# 1
NaLaCl3 | PBE | relaxed

The value obtained for the final energy is -4.290 eV per atom. Its energy relative to the elements, uncorrected is -1.933 eV/atom. As for the mass density: 3.11 Mg/m³.

a = 8.134 Å, b = 3.896 Å, c = 9.287 Å
α = 90.00°, β = 103.67°, γ = 90.00°
Space group P2_1/m (No. 11)
One atom of each set of equivalent atoms:
Na 0.168 0.250 0.332 [2 per cell]
La 0.349 0.750 0.852 [2 per cell]
Cl 0.080 0.250 0.839 [2 per cell]
Cl 0.244 0.750 0.542 [2 per cell]
Cl 0.386 0.750 0.181 [2 per cell]

# 2
Y4CrNi | PBE | relaxed

The value obtained for the final energy is -5.964 eV per atom. As for the mass density: 4.71 Mg/m³. As for the calculated formation energy: 0.913 eV/atom.

a = 8.698 Å, b = 8.698 Å, c = 8.698 Å
α = 90.00°, β = 90.00°, γ = 90.00°
Space group F-43m (No. 216)
One atom of each set of equivalent atoms:
Y 0.125 0.125 0.125 [16 per cell]
Cr 0.250 0.250 0.750 [4 per cell]
Ni 0.000 0.000 0.500 [4 per cell]

# 3
MgCuSnHg | PBE | relaxed

The value obtained for the final energy is -2.430 eV per atom. As for the mass density: 8.26 Mg/m³. As for the calculated formation energy: 0.069 eV/atom.

a = 6.893 Å, b = 6.893 Å, c = 6.893 Å
α = 90.00°, β = 90.00°, γ = 90.00°
Space group F-43m (No. 216)
One atom of each set of equivalent atoms:
Mg 0.000 0.000 0.000 [4 per cell]
Cu 0.000 0.000 0.500 [4 per cell]
Sn 0.250 0.250 0.250 [4 per cell]
Hg 0.250 0.250 0.750 [4 per cell]

# 4
SiHgTe4 | PBE | relaxed

The value obtained for the final energy is -2.432 eV per atom. Its energy relative to the elements, uncorrected is 0.617 eV/atom. As for the mass density: 6.77 Mg/m³.

a = 8.982 Å, b = 8.982 Å, c = 8.982 Å
α = 90.00°, β = 90.00°, γ = 90.00°
Space group F-43m (No. 216)
One atom of each set of equivalent atoms:
Si 0.000 0.000 0.000 [4 per cell]
Hg 0.250 0.250 0.250 [4 per cell]
Te 0.126 0.126 0.626 [16 per cell]

# 5
YAlIr2 | PBE | relaxed

The value obtained for the final energy is -7.749 eV per atom. As for the mass density: 12.35 Mg/m³. As for the calculated formation energy: -0.767 eV/atom.

a = 3.126 Å, b = 3.126 Å, c = 6.887 Å
α = 90.00°, β = 90.00°, γ = 90.00°
Space group P4/mmm (No. 123)
One atom of each set of equivalent atoms:
Y 0.000 0.000 0.000 [1 per cell]
Al 0.000 0.000 0.500 [1 per cell]
Ir 0.500 0.500 0.289 [2 per cell]

# 6
MnTl2SnSe4 | PBE | relaxed

The value obtained for the final energy is -4.363 eV per atom. Its energy relative to the elements, uncorrected is -0.383 eV/atom. As for the mass density: 7.21 Mg/m³.

a = 8.133 Å, b = 8.619 Å, c = 11.806 Å
α = 90.00°, β = 90.00°, γ = 90.00°
Space group Imma (No. 74)
One atom of each set of equivalent atoms:
Mn 0.250 0.250 0.250 [4 per cell]
Tl 0.000 0.000 0.000 [4 per cell]
Tl 0.250 0.250 0.750 [4 per cell]
Sn 0.000 0.000 0.500 [4 per cell]
Se 0.000 0.046 0.257 [8 per cell]
Se 0.237 0.250 0.476 [8 per cell]

# 7
MgTiTe2Ir | PBE | relaxed

The value obtained for the final energy is -3.984 eV per atom. Its energy relative to the elements, uncorrected is 0.942 eV/atom. As for the mass density: 6.88 Mg/m³.

a = 5.214 Å, b = 5.214 Å, c = 4.612 Å
α = 90.00°, β = 90.00°, γ = 90.00°
Space group P4/mmm (No. 123)
One atom of each set of equivalent atoms:
Mg 0.000 0.000 0.000 [1 per cell]
Ti 0.500 0.500 0.500 [1 per cell]
Te 0.000 0.500 0.000 [2 per cell]
Ir 0.000 0.000 0.500 [1 per cell]

# 8
MgRe2Mo | PBE | relaxed

The value obtained for the final energy is -9.127 eV per atom. As for the mass density: 13.12 Mg/m³. As for the calculated formation energy: 0.204 eV/atom.

a = 3.121 Å, b = 4.485 Å, c = 8.912 Å
α = 90.00°, β = 90.00°, γ = 90.00°
Space group Immm (No. 71)
One atom of each set of equivalent atoms:
Mg 0.000 0.000 0.000 [2 per cell]
Re 0.000 0.500 0.237 [4 per cell]
Mo 0.000 0.000 0.500 [2 per cell]

# 9
CdOsBr2 | PBE | relaxed

The value obtained for the final energy is -3.552 eV per atom. Its energy relative to the elements, uncorrected is 0.320 eV/atom. As for the mass density: 7.06 Mg/m³.

a = 15.000 Å, b = 3.163 Å, c = 4.844 Å
α = 90.00°, β = 108.77°, γ = 90.00°
Space group C2/m (No. 12)
One atom of each set of equivalent atoms:
Cd 0.000 0.000 0.000 [2 per cell]
Os 0.000 0.500 0.500 [2 per cell]
Br 0.143 0.000 0.643 [4 per cell]

# 10
Sc2ReTc | PBE | relaxed

The value obtained for the final energy is -9.028 eV per atom. As for the mass density: 8.78 Mg/m³. As for the calculated formation energy: -0.159 eV/atom.

a = 3.209 Å, b = 4.618 Å, c = 9.548 Å
α = 90.00°, β = 90.00°, γ = 90.00°
Space group Imm2 (No. 44)
One atom of each set of equivalent atoms:
Sc 0.000 0.000 0.000 [2 per cell]
Sc 0.000 0.500 0.223 [2 per cell]
Re 0.000 0.500 0.758 [2 per cell]
Tc 0.000 0.000 0.467 [2 per cell]

# 11
BeWS2 | PBE | relaxed

The value obtained for the final energy is -6.313 eV per atom. Its energy relative to the elements, uncorrected is -0.079 eV/atom. As for the mass density: 6.48 Mg/m³.

a = 5.326 Å, b = 5.326 Å, c = 9.291 Å
α = 90.00°, β = 90.00°, γ = 90.00°
Space group I-42d (No. 122)
One atom of each set of equivalent atoms:
Be 0.000 0.000 0.000 [4 per cell]
W 0.000 0.000 0.500 [4 per cell]
S 0.206 0.250 0.125 [8 per cell]

# 12
La7PrNd12 | PBE | relaxed

The value obtained for the final energy is -4.756 eV per atom. As for the mass density: 6.56 Mg/m³. As for the calculated formation energy: 0.068 eV/atom.

a = 13.8327 Å, b = 13.8327 Å, c = 13.0243 Å
α = 90.00°, β = 90.00°, γ = 120.00°
Space group R-3m (No. 166, hexagonal axes)
One atom of each set of equivalent atoms:
La 0.0000 0.0000 0.0000 [3 per cell]
La 0.0899 0.1797 0.2667 [18 per cell]
Pr 0.0000 0.0000 0.5000 [3 per cell]
Nd 0.0000 0.2591 0.5000 [18 per cell]
Nd 0.0437 0.5218 0.6157 [18 per cell]

# 13
Pu2VIn | PBE | relaxed

The value obtained for the final energy is -9.710 eV per atom. As for the mass density: 11.55 Mg/m³. As for the calculated formation energy: 0.421 eV/atom.

a = 3.1302 Å, b = 3.1302 Å, c = 33.2273 Å
α = 90.00°, β = 90.00°, γ = 120.00°
Space group R-3m (No. 166, hexagonal axes)
One atom of each set of equivalent atoms:
Pu 0.0000 0.0000 0.0981 [6 per cell]
V 0.0000 0.0000 0.5000 [3 per cell]
In 0.0000 0.0000 0.0000 [3 per cell]